Entry 1:
An optimized crystal structure of Nd5Sm6Tl. Source: the Alexandria database, functional PBE.

abc: 5.067 9.583 9.583
angles: 106.83 105.30 105.30
Sites, in units of the cell vectors:
Tl: 0.000 0.000 0.000
Nd: 0.500 0.168 0.832
Nd: 0.000 0.337 0.663
Nd: 0.500 0.500 0.500
Nd: 0.000 0.663 0.337
Nd: 0.500 0.832 0.168
Sm: 0.245 0.080 0.409
Sm: 0.755 0.591 0.920
Sm: 0.744 0.244 0.244
Sm: 0.256 0.756 0.756
Sm: 0.245 0.409 0.080
Sm: 0.755 0.920 0.591

Its space group is No. 71. For the energy relative to the elements, the calculation gives -0.034 eV/atom.



Entry 2:
An optimized crystal structure of Nd7Sm12Tl. Source: the Alexandria database, functional PBE.

abc: 8.825 8.825 8.825
angles: 88.13 88.13 88.13
Sites, in units of the cell vectors:
Nd: 0.854 0.612 0.926
Nd: 0.388 0.074 0.146
Nd: 0.074 0.146 0.388
Nd: 0.500 0.500 0.500
Nd: 0.926 0.854 0.612
Nd: 0.612 0.926 0.854
Nd: 0.146 0.388 0.074
Sm: 0.870 0.253 0.742
Sm: 0.747 0.258 0.130
Sm: 0.613 0.141 0.502
Sm: 0.859 0.498 0.387
Sm: 0.258 0.130 0.747
Sm: 0.498 0.387 0.859
Sm: 0.502 0.613 0.141
Sm: 0.742 0.870 0.253
Sm: 0.141 0.502 0.613
Sm: 0.387 0.859 0.498
Sm: 0.253 0.742 0.870
Sm: 0.130 0.747 0.258
Tl: 0.000 0.000 0.000

Its space group is No. 148. For the energy relative to the elements, the calculation gives 0.146 eV/atom.



Entry 3:
An optimized crystal structure of Nd4Sm4Tl. Source: the Alexandria database, functional PBE.

abc: 5.001 8.121 8.121
angles: 84.56 72.07 72.07
Sites, in units of the cell vectors:
Nd: 0.661 0.677 0.000
Nd: 0.339 0.323 0.000
Nd: 0.661 0.000 0.677
Nd: 0.339 0.000 0.323
Sm: 0.664 0.335 0.336
Sm: 0.336 0.665 0.664
Sm: 0.000 0.664 0.335
Sm: 0.000 0.336 0.665
Tl: 0.000 0.000 0.000

Its space group is No. 139. For the energy relative to the elements, the calculation gives -0.041 eV/atom.